Entry 1:
A plane-wave DFT calculation with GGA-PBEsol was carried out for TbSm after structural relaxation.

abc: 3.558 3.558 5.653
angles: 90.00 90.00 120.00
Fractional coordinates of all 2 atoms:
Tb 0.000 0.000 0.000
Sm 0.667 0.333 0.500

Output
Calculated formation energy: 2 kJ per mole of atoms
Spin magnetization: 0.0 μB per cell
V: 61.97 Å³ per cell



Entry 2:
A plane-wave DFT calculation with GGA-PBEsol was carried out for Sc7CoI12 after structural relaxation.

abc: 9.099 9.099 9.099
angles: 107.17 107.17 107.17
Fractional coordinates of all 20 atoms:
Sc 0.000 0.000 0.000
Sc 0.213 0.408 0.476
Sc 0.408 0.476 0.213
Sc 0.476 0.213 0.408
Sc 0.524 0.787 0.592
Sc 0.592 0.524 0.787
Sc 0.787 0.592 0.524
Co 0.500 0.500 0.500
I 0.037 0.343 0.114
I 0.114 0.037 0.343
I 0.180 0.727 0.573
I 0.273 0.427 0.820
I 0.343 0.114 0.037
I 0.427 0.820 0.273
I 0.573 0.180 0.727
I 0.657 0.886 0.963
I 0.727 0.573 0.180
I 0.820 0.273 0.427
I 0.886 0.963 0.657
I 0.963 0.657 0.886

Output
Final energy: -4.869 eV/atom
Spin magnetization: 0.1 μB per cell
V: 624.39 Å³ per cell



Entry 3:
A plane-wave DFT calculation with GGA-PBEsol was carried out for Rb2NaH2 after structural relaxation.

abc: 7.681 7.681 7.681
angles: 140.33 140.33 57.36
Fractional coordinates of all 5 atoms:
Rb 0.182 0.182 0.000
Rb 0.818 0.818 0.000
Na 0.500 0.500 0.000
H 0.250 0.750 0.500
H 0.750 0.250 0.500

Output
Final energy: -1.897 eV/atom
Spin magnetization: 0.2 μB per cell
V: 183.13 Å³ per cell